(1)
18
Lattice="7.430 0.000 0.000 0.000 7.215 0.000 -3.715 -3.608 5.312" Properties=species:S:1:pos:R:3 comment="PBE-GGA TaTcPbO6, relaxed" spacegroup="Imma (74)" magnetic_moment_mub_per_fu=1.61 raw_formation_energy_mev_per_atom=-1766 pbc="T T T"
Ta 1.857 -1.804 2.656
Ta -1.857 -1.804 2.656
Tc 3.715 3.608 0.000
Tc 3.715 0.000 0.000
Pb 3.715 1.804 4.988
Pb 0.000 1.804 0.324
O 0.000 1.804 4.787
O 3.715 -1.804 3.352
O 5.161 -0.427 1.282
O 2.268 4.035 1.282
O 2.268 -0.427 1.282
O 5.161 4.035 1.282
O 3.715 1.804 0.525
O 0.000 5.411 1.960
O -1.446 4.035 4.030
O 1.446 -0.427 4.030
O 1.446 4.035 4.030
O -1.446 -0.427 4.030

(2)
8
Lattice="-3.856 1.736 -1.353 -2.998 -2.567 -2.035 -6.401 -2.507 7.746" Properties=species:S:1:pos:R:3 comment="PBE-GGA AcGa4PtAu2, relaxed" spacegroup="R-3m (166)" magnetic_moment_mub_per_fu=0.00 formation_energy_mev_per_atom=-520 pbc="T T T"
Ac 0.000 0.000 0.000
Ga -7.681 -2.240 4.450
Ga -8.559 -1.754 0.287
Ga -4.697 -1.584 4.071
Ga -5.574 -1.098 -0.092
Pt -6.628 -1.669 2.179
Au -10.150 -2.616 3.719
Au -3.105 -0.721 0.640